The following is a DFT calculation (PBE) of a relaxed LaSmTm2Sb4 crystal.

Lattice parameters (Å, degrees): 7.684 4.452 7.704 90.00 109.52 90.00
Atoms (fractional coordinates):
La: 0.000 0.000 0.000
Sm: 0.000 0.500 0.500
Tm: 0.500 0.000 0.500
Tm: 0.500 0.500 0.000
Sb: 0.262 0.000 0.751
Sb: 0.264 0.500 0.258
Sb: 0.736 0.500 0.742
Sb: 0.738 0.000 0.249

Output
Uncorrected formation energy: -1.1400 eV per atom
Density: 7.449 g/cm3
Size of the total moment: 0.00 μB/atom